(1)
DFT (PBE) results for an optimized crystal structure of MnBeNb2.

a b c (Å): 3.092 3.092 5.893
angles (deg): 90.00 90.00 90.00
Element x y z (fractional)
Mn  0.000  0.000  0.000
Be  0.000  0.000  0.500
Nb  0.500  0.500  0.252
Nb  0.500  0.500  0.748

Output
E_form: -8 meV per atom
DOS(E_F): 2.25 states/eV per cell
DFT total energy: -33.07 eV per cell
crystal system: tetragonal
space-group type: P4/mmm

=====

(2)
DFT (PBE) results for an optimized crystal structure of SrHfTaIn2.

a b c (Å): 5.521 5.521 5.029
angles (deg): 90.00 90.00 90.00
Element x y z (fractional)
Sr  0.000  0.000  0.000
Hf  0.500  0.500  0.000
Ta  0.500  0.500  0.500
In  0.000  0.500  0.500
In  0.500  0.000  0.500

Output
E_form: 379 meV per atom
DOS(E_F): 2.91 states/eV per cell
DFT total energy: -27.07 eV per cell
crystal system: tetragonal
space-group type: P4/mmm